## P
An optimized crystal structure of La5PrSm6, computed with PBE.

```
12
Lattice="3.199 -5.551 0.000 3.199 5.551 0.000 -2.140 0.000 11.915" Properties=species:S:1:pos:R:3 pbc="T T T"
La 0.000 0.000 0.000
La 2.129 3.699 5.957
La 3.199 1.847 0.000
La 3.199 -1.847 0.000
La 2.129 -3.699 5.957
Pr 2.129 0.000 5.957
Sm 1.071 1.848 2.981
Sm -0.007 0.000 8.932
Sm 1.071 -1.848 2.981
Sm 3.187 1.848 8.934
Sm 4.265 0.000 2.983
Sm 3.187 -1.848 8.934
```

Properties
space-group type	No. 12

## Q
An optimized crystal structure of La5PrSm6, computed with PBE.

```
12
Lattice="-3.050 3.788 9.177 3.050 -3.788 9.177 3.050 3.788 -9.177" Properties=species:S:1:pos:R:3 pbc="T T T"
La 0.000 0.000 0.000
La 3.050 0.000 3.062
La 0.000 0.000 6.099
La 0.000 0.000 12.255
La 0.000 3.788 6.114
Pr 0.000 3.788 0.000
Sm 3.050 -1.883 6.137
Sm 3.050 1.913 0.000
Sm 0.000 1.905 3.039
Sm 3.050 1.883 6.137
Sm 0.000 1.874 9.177
Sm 0.000 5.670 3.039
```

Properties
space-group type	No. 71

Each structure's energy above the most stable one, in eV/atom: P 0.000; Q 0.084.

## P
An optimized crystal structure of LaPr4Sm3, computed with PBE.

```
16
Lattice="11.960 0.000 0.000 0.000 7.444 0.000 0.000 0.000 6.435" Properties=species:S:1:pos:R:3 pbc="T T T"
La 0.000 0.919 0.000
La 5.980 6.525 3.218
Pr 0.000 2.781 3.213
Pr 0.000 4.669 0.020
Pr 2.970 4.662 4.291
Pr 3.010 2.782 1.074
Pr 5.980 2.775 3.237
Pr 5.980 4.664 6.431
Pr 8.950 2.782 1.074
Pr 8.990 4.662 4.291
Sm 0.000 6.523 3.218
Sm 2.989 0.919 4.304
Sm 2.991 6.526 1.087
Sm 5.980 0.922 0.001
Sm 8.971 0.919 4.304
Sm 8.969 6.526 1.087
```

Properties
space-group type	No. 31

## Q
An optimized crystal structure of LaPr4Sm3, computed with PBE.

```
16
Lattice="10.442 0.000 0.000 0.000 7.372 0.000 0.000 0.000 7.367" Properties=species:S:1:pos:R:3 pbc="T T T"
La 0.000 0.000 0.000
La 5.221 0.000 3.684
Pr 0.000 0.000 3.684
Pr 0.000 3.686 0.000
Pr 2.611 1.857 1.842
Pr 2.611 5.515 5.525
Pr 5.221 0.000 0.000
Pr 5.221 3.686 3.684
Pr 7.832 1.857 1.842
Pr 7.832 5.515 5.525
Sm 0.000 3.686 3.684
Sm 2.611 1.858 5.525
Sm 2.611 5.514 1.842
Sm 5.221 3.686 0.000
Sm 7.832 1.858 5.525
Sm 7.832 5.514 1.842
```

Properties
space-group type	No. 53

Each structure's energy above the most stable one, in eV/atom: P 0.022; Q 0.000.

## P
An optimized crystal structure of La5PrSm5, computed with PBE.

```
11
Lattice="6.313 0.000 0.000 -3.156 5.467 0.000 0.000 0.000 11.778" Properties=species:S:1:pos:R:3 pbc="T T T"
La 0.000 0.000 0.000
La 0.000 3.645 3.801
La 0.000 3.645 7.977
La 3.156 1.822 1.834
La 3.156 1.822 9.944
Pr 0.000 3.645 0.000
Sm 0.000 0.000 3.129
Sm 0.000 0.000 8.649
Sm 1.589 0.917 5.889
Sm 4.724 0.917 5.889
Sm 3.156 3.632 5.889
```

Properties
space-group type	No. 187

## Q
An optimized crystal structure of La5PrSm5, computed with PBE.

```
11
Lattice="9.654 -3.084 0.000 9.654 3.084 0.000 -2.601 0.000 6.674" Properties=species:S:1:pos:R:3 pbc="T T T"
La 0.000 0.000 0.000
La 6.102 0.000 0.459
La 4.760 0.000 3.887
La 11.947 0.000 2.787
La 10.605 0.000 6.215
Pr 9.654 0.000 0.000
Sm 0.765 0.000 4.186
Sm 2.824 0.000 1.148
Sm 8.354 0.000 3.337
Sm 13.883 0.000 5.526
Sm 15.942 0.000 2.488
```

Properties
space-group type	No. 12

Each structure's energy above the most stable one, in eV/atom: P 0.030; Q 0.000.

## P
An optimized crystal structure of La3Pr2Sm, computed with PBE.

```
12
Lattice="6.962 0.000 0.000 0.000 17.994 0.000 0.000 0.000 3.502" Properties=species:S:1:pos:R:3 pbc="T T T"
La 0.000 0.000 0.000
La 1.663 5.826 0.000
La 1.818 14.823 1.751
La 3.481 8.997 1.751
La 5.145 3.171 1.751
La 5.299 12.168 0.000
Pr 1.610 2.798 1.751
Pr 1.872 11.795 0.000
Pr 5.091 6.199 0.000
Pr 5.353 15.196 1.751
Sm 0.000 8.997 0.000
Sm 3.481 0.000 1.751
```

Properties
space-group type	No. 58

## Q
An optimized crystal structure of La3Pr2Sm, computed with PBE.

```
12
Lattice="4.622 -5.125 0.000 4.622 5.125 0.000 -1.774 0.000 9.091" Properties=species:S:1:pos:R:3 pbc="T T T"
La 3.292 4.237 6.819
La 0.478 0.859 9.077
La 1.364 -0.859 4.532
La 6.106 0.859 4.560
La 6.993 -0.859 0.014
La 4.179 -4.237 2.273
Pr 2.792 2.508 3.422
Pr 5.565 2.508 1.124
Pr 1.905 -2.508 7.967
Pr 4.678 -2.508 5.670
Sm 3.292 0.846 6.819
Sm 4.179 -0.846 2.273
```

Properties
space-group type	No. 15

Each structure's energy above the most stable one, in eV/atom: P 0.170; Q 0.000.

## P
An optimized crystal structure of La4Pr7Sm, computed with PBE.

```
12
Lattice="6.174 -3.107 0.000 6.174 3.107 0.000 -6.097 0.000 11.728" Properties=species:S:1:pos:R:3 pbc="T T T"
La -1.251 0.000 3.833
La 3.113 0.000 2.614
La 3.138 0.000 9.114
La 7.502 0.000 7.895
Pr 0.000 0.000 0.000
Pr -3.018 0.000 10.813
Pr -1.103 0.000 8.000
Pr 1.493 0.000 5.849
Pr 4.758 0.000 5.879
Pr 7.354 0.000 3.728
Pr 9.269 0.000 0.915
Sm 6.174 0.000 0.000
```

Properties
space-group type	No. 12

## Q
An optimized crystal structure of La4Pr7Sm, computed with PBE.

```
12
Lattice="6.442 0.000 0.000 0.006 7.429 0.000 3.170 1.819 9.115" Properties=species:S:1:pos:R:3 pbc="T T T"
La 6.972 0.930 1.523
La 2.647 8.317 7.592
La 3.755 2.787 1.533
La 5.864 6.461 7.582
Pr 1.595 6.473 4.558
Pr 2.651 4.612 7.583
Pr 3.754 6.491 1.529
Pr 4.806 0.910 4.557
Pr 5.865 2.757 7.586
Pr 6.968 4.635 1.532
Pr 8.024 2.775 4.557
Sm 4.809 4.624 4.557
```

Properties
space-group type	No. 2

Each structure's energy above the most stable one, in eV/atom: P 0.198; Q 0.000.

## P
An optimized crystal structure of La2Pr3Sm3, computed with PBE.

```
8
Lattice="-2.609 2.611 10.422 2.609 -2.611 10.422 2.609 2.611 -10.422" Properties=species:S:1:pos:R:3 pbc="T T T"
La 0.000 0.000 5.206
La 0.000 0.000 15.638
Pr 0.000 0.000 0.000
Pr 2.609 0.000 7.846
Pr 0.000 2.611 2.576
Sm 2.609 0.000 2.578
Sm 0.000 0.000 10.422
Sm 0.000 2.611 7.844
```

Properties
space-group type	No. 71

## Q
An optimized crystal structure of La2Pr3Sm3, computed with PBE.

```
16
Lattice="1.806 -8.746 0.000 1.806 8.746 0.000 0.000 0.000 18.195" Properties=species:S:1:pos:R:3 pbc="T T T"
La 1.806 4.626 11.905
La 1.806 4.626 15.387
La 1.806 -4.626 2.808
La 1.806 -4.626 6.290
Pr 1.806 2.671 0.002
Pr 1.806 2.671 9.095
Pr 1.806 1.709 13.646
Pr 1.806 -1.709 4.549
Pr 1.806 -2.671 18.193
Pr 1.806 -2.671 9.100
Sm 1.806 8.741 1.845
Sm 1.806 8.741 7.252
Sm 1.806 -8.741 10.943
Sm 1.806 -8.741 16.350
Sm 1.806 1.576 4.549
Sm 1.806 -1.576 13.646
```

Properties
space-group type	No. 63

Each structure's energy above the most stable one, in eV/atom: P 0.000; Q 0.102.

## P
An optimized crystal structure of LaPr5Sm8, computed with PBE.

```
14
Lattice="8.916 -1.807 0.000 8.916 1.807 0.000 -8.108 0.000 15.208" Properties=species:S:1:pos:R:3 pbc="T T T"
La 0.000 0.000 0.000
Pr -0.970 0.000 6.681
Pr 2.649 0.000 2.193
Pr 4.869 0.000 7.604
Pr 7.077 0.000 13.015
Pr 10.707 0.000 8.526
Sm -4.438 0.000 10.971
Sm 2.210 0.000 5.399
Sm 5.806 0.000 0.934
Sm 1.223 0.000 11.831
Sm 8.506 0.000 3.376
Sm 3.919 0.000 14.274
Sm 7.525 0.000 9.809
Sm 14.170 0.000 4.237
```

Properties
space-group type	No. 8

## Q
An optimized crystal structure of LaPr5Sm8, computed with PBE.

```
14
Lattice="-4.857 4.857 5.267 4.857 -4.857 5.267 4.857 4.857 -5.267" Properties=species:S:1:pos:R:3 pbc="T T T"
La 0.000 0.000 0.000
Pr 5.912 2.062 -1.869
Pr 4.857 0.000 2.634
Pr 2.062 3.803 1.869
Pr -1.055 2.795 3.399
Pr 2.795 1.055 7.136
Sm 3.104 0.766 0.056
Sm 3.121 4.137 -1.504
Sm 4.091 -1.754 5.212
Sm 1.736 0.720 3.763
Sm 5.578 3.121 1.504
Sm 0.766 6.611 -0.056
Sm -0.720 1.736 6.771
Sm 1.754 4.091 5.323
```

Properties
space-group type	No. 82

Each structure's energy above the most stable one, in eV/atom: P 0.000; Q 0.175.

## P
An optimized crystal structure of LaPrSmSn, computed with PBE.

```
4
Lattice="-2.461 2.461 5.116 2.461 -2.461 5.116 2.461 2.461 -5.116" Properties=species:S:1:pos:R:3 pbc="T T T"
La 0.000 0.000 0.000
Pr 0.000 2.461 2.558
Sm 2.461 0.000 2.558
Sn 0.000 0.000 5.116
```

Properties
space-group type	No. 119

## Q
An optimized crystal structure of LaPrSmSn, computed with PBE.

```
4
Lattice="0.000 3.975 3.975 3.975 0.000 3.975 3.975 3.975 0.000" Properties=species:S:1:pos:R:3 pbc="T T T"
La 0.000 0.000 0.000
Pr 3.975 3.975 3.975
Sm 1.988 1.988 1.988
Sn 5.963 5.963 5.963
```

Properties
space-group type	No. 216

Each structure's energy above the most stable one, in eV/atom: P 0.000; Q 0.143.

## P
An optimized crystal structure of LaTbPrSm, computed with PBE.

```
4
Lattice="0.000 4.120 4.120 4.120 0.000 4.120 4.120 4.120 0.000" Properties=species:S:1:pos:R:3 pbc="T T T"
La 0.000 0.000 0.000
Tb 6.180 6.180 6.180
Pr 4.120 4.120 4.120
Sm 2.060 2.060 2.060
```

Properties
space-group type	No. 216

## Q
An optimized crystal structure of LaTbPrSm, computed with PBE.

```
4
Lattice="-2.596 2.596 5.179 2.596 -2.596 5.179 2.596 2.596 -5.179" Properties=species:S:1:pos:R:3 pbc="T T T"
La 0.000 0.000 0.000
Tb 2.596 0.000 2.589
Pr 0.000 2.596 2.589
Sm 0.000 0.000 5.179
```

Properties
space-group type	No. 119

Each structure's energy above the most stable one, in eV/atom: P 0.090; Q 0.000.

## P
An optimized crystal structure of LaPrSmTh, computed with PBE.

```
4
Lattice="0.000 4.113 4.113 4.113 0.000 4.113 4.113 4.113 0.000" Properties=species:S:1:pos:R:3 pbc="T T T"
La 0.000 0.000 0.000
Pr 4.113 4.113 4.113
Sm 2.057 2.057 2.057
Th 6.170 6.170 6.170
```

Properties
space-group type	No. 216

## Q
An optimized crystal structure of LaPrSmTh, computed with PBE.

```
4
Lattice="3.628 0.000 0.000 0.000 3.628 0.000 0.000 0.000 10.529" Properties=species:S:1:pos:R:3 pbc="T T T"
La 0.000 0.000 0.000
Pr 1.814 1.814 2.867
Sm 0.000 0.000 5.594
Th 1.814 1.814 8.046
```

Properties
space-group type	No. 99

Each structure's energy above the most stable one, in eV/atom: P 0.180; Q 0.000.

## P
An optimized crystal structure of LaPrSmZn, computed with PBE.

```
4
Lattice="0.000 3.918 3.918 3.918 0.000 3.918 3.918 3.918 0.000" Properties=species:S:1:pos:R:3 pbc="T T T"
La 0.000 0.000 0.000
Pr 3.918 3.918 3.918
Sm 1.959 1.959 1.959
Zn 5.877 5.877 5.877
```

Properties
space-group type	No. 216

## Q
An optimized crystal structure of LaPrSmZn, computed with PBE.

```
4
Lattice="3.705 0.000 0.000 0.000 3.705 0.000 0.000 0.000 8.855" Properties=species:S:1:pos:R:3 pbc="T T T"
La 0.000 0.000 0.000
Pr 1.853 1.853 6.191
Sm 1.853 1.853 2.586
Zn 0.000 0.000 4.310
```

Properties
space-group type	No. 99

Each structure's energy above the most stable one, in eV/atom: P 0.190; Q 0.000.